Density functional theory data (PBE) for a geometry-optimized SrSmGa2Pd2 structure.

a = 4.510 Å, b = 4.510 Å, c = 7.831 Å
α = 90.00°, β = 90.00°, γ = 120.00°
Sites, in units of the cell vectors:
Sr (0.000, 0.000, 0.000)
Sm (0.000, 0.000, 0.500)
Ga (0.667, 0.333, 0.721)
Ga (0.333, 0.667, 0.279)
Pd (0.667, 0.333, 0.285)
Pd (0.333, 0.667, 0.715)

Computed properties:
E: -0.1678 Ha/atom
Formation energy from the elements: -0.7583 eV/atom